Entry 1:
DFT (PBE) results for a relaxed structure of PaTl3Br6.

Results
Formation energy (no corrections): -1.00 eV per atom
Energy above the most stable polymorph in this dataset: 28.7 meV per atom
SG: No. 69

Unit cell a=9.841 b=8.982 c=7.562 alpha=72.43 beta=60.47 gamma=47.10
Sites, in units of the cell vectors:
Pa  0.000  0.000  0.000
Tl  0.250  0.250  0.250
Tl  0.500  0.500  0.500
Tl  0.750  0.750  0.750
Br  0.086  0.648  0.914
Br  0.231  0.769  0.231
Br  0.352  0.914  0.648
Br  0.648  0.086  0.352
Br  0.769  0.231  0.769
Br  0.914  0.352  0.086

Entry 2:
DFT (PBE) results for a relaxed structure of PaTl3Br6.

Results
Formation energy (no corrections): -1.03 eV per atom
Energy above the most stable polymorph in this dataset: 0.0 meV per atom
SG: No. 14

Unit cell a=7.959 b=8.558 c=13.858 alpha=90.00 beta=123.85 gamma=90.00
Sites, in units of the cell vectors:
Pa  0.000  0.000  0.000
Pa  0.000  0.500  0.500
Tl  0.287  0.097  0.751
Tl  0.287  0.403  0.251
Tl  0.500  0.000  0.500
Tl  0.500  0.500  0.000
Tl  0.713  0.597  0.749
Tl  0.713  0.903  0.249
Br  0.086  0.047  0.232
Br  0.086  0.453  0.732
Br  0.231  0.710  0.074
Br  0.231  0.790  0.574
Br  0.366  0.169  0.066
Br  0.366  0.331  0.566
Br  0.634  0.669  0.434
Br  0.634  0.831  0.934
Br  0.769  0.210  0.426
Br  0.769  0.290  0.926
Br  0.914  0.547  0.268
Br  0.914  0.953  0.768

Entry 3:
DFT (PBE) results for a relaxed structure of PaTl2Br4.

Results
Formation energy (no corrections): -0.75 eV per atom
SG: No. 139

Unit cell a=9.248 b=9.248 c=9.248 alpha=143.40 beta=143.40 gamma=52.72
Sites, in units of the cell vectors:
Pa  0.000  0.000  0.000
Tl  0.372  0.372  0.000
Tl  0.628  0.628  0.000
Br  0.000  0.500  0.500
Br  0.173  0.173  0.000
Br  0.500  0.000  0.500
Br  0.827  0.827  0.000

Entry 4:
DFT (PBE) results for a relaxed structure of Pa2TlBr8.

Results
Formation energy (no corrections): -1.17 eV per atom
Energy above the most stable polymorph in this dataset: 27.5 meV per atom
SG: No. 147

Unit cell a=10.028 b=10.028 c=5.795 alpha=90.00 beta=90.00 gamma=120.00
Sites, in units of the cell vectors:
Pa  0.333  0.667  0.250
Pa  0.667  0.333  0.750
Tl  0.000  0.000  0.000
Br  0.175  0.351  0.259
Br  0.176  0.825  0.259
Br  0.333  0.667  0.752
Br  0.351  0.176  0.741
Br  0.649  0.824  0.259
Br  0.667  0.333  0.248
Br  0.824  0.175  0.741
Br  0.825  0.649  0.741

Entry 5:
DFT (PBE) results for a relaxed structure of PaTl6Br12.

Results
Formation energy (no corrections): -0.97 eV per atom
SG: No. 148

Unit cell a=9.420 b=9.420 c=9.420 alpha=98.90 beta=98.90 gamma=98.90
Sites, in units of the cell vectors:
Pa  0.000  0.000  0.000
Tl  0.159  0.353  0.625
Tl  0.353  0.625  0.159
Tl  0.375  0.841  0.647
Tl  0.625  0.159  0.353
Tl  0.647  0.375  0.841
Tl  0.841  0.647  0.375
Br  0.015  0.929  0.712
Br  0.071  0.288  0.985
Br  0.172  0.577  0.411
Br  0.288  0.985  0.071
Br  0.411  0.172  0.577
Br  0.423  0.589  0.828
Br  0.577  0.411  0.172
Br  0.589  0.828  0.423
Br  0.712  0.015  0.929
Br  0.828  0.423  0.589
Br  0.929  0.712  0.015
Br  0.985  0.071  0.288

Entry 6:
DFT (PBE) results for a relaxed structure of PaTlBr2.

Results
Formation energy (no corrections): -0.41 eV per atom
SG: No. 166

Unit cell a=11.302 b=11.302 c=11.302 alpha=18.61 beta=18.61 gamma=18.61
Sites, in units of the cell vectors:
Pa  0.000  0.000  0.000
Tl  0.500  0.500  0.500
Br  0.082  0.082  0.082
Br  0.918  0.918  0.918

Entry 7:
DFT (PBE) results for a relaxed structure of PaTl2Br6.

Results
Formation energy (no corrections): -1.22 eV per atom
Energy above the most stable polymorph in this dataset: 16.2 meV per atom
SG: No. 136

Unit cell a=7.470 b=7.470 c=14.147 alpha=90.00 beta=90.00 gamma=90.00
Sites, in units of the cell vectors:
Pa  0.000  0.000  0.000
Pa  0.500  0.500  0.500
Tl  0.000  0.000  0.334
Tl  0.000  0.000  0.666
Tl  0.500  0.500  0.166
Tl  0.500  0.500  0.834
Br  0.184  0.184  0.145
Br  0.184  0.184  0.855
Br  0.234  0.234  0.500
Br  0.266  0.734  0.000
Br  0.316  0.684  0.355
Br  0.316  0.684  0.645
Br  0.684  0.316  0.355
Br  0.684  0.316  0.645
Br  0.734  0.266  0.000
Br  0.766  0.766  0.500
Br  0.816  0.816  0.145
Br  0.816  0.816  0.855

Entry 8:
DFT (PBE) results for a relaxed structure of PaTl2Br5.

Results
Formation energy (no corrections): -1.01 eV per atom
SG: No. 8

Unit cell a=7.850 b=7.850 c=7.055 alpha=107.55 beta=107.55 gamma=67.34
Sites, in units of the cell vectors:
Pa  0.000  0.000  0.000
Tl  0.193  0.193  0.547
Tl  0.633  0.633  0.184
Br  0.201  0.741  0.261
Br  0.343  0.909  0.876
Br  0.741  0.201  0.261
Br  0.805  0.805  0.667
Br  0.909  0.343  0.876

Entry 9:
DFT (PBE) results for a relaxed structure of Tm2PaBr.

Results
Formation energy (no corrections): -0.09 eV per atom
SG: No. 166

Unit cell a=11.415 b=11.415 c=11.415 alpha=16.69 beta=16.69 gamma=16.69
Sites, in units of the cell vectors:
Tm  0.096  0.096  0.096
Tm  0.904  0.904  0.904
Pa  0.000  0.000  0.000
Br  0.500  0.500  0.500

Entry 10:
DFT (PBE) results for a relaxed structure of UPaBr.

Results
Formation energy (no corrections): -0.17 eV per atom
SG: No. 59

Unit cell a=3.664 b=4.823 c=11.245 alpha=90.00 beta=90.00 gamma=90.00
Sites, in units of the cell vectors:
U  0.250  0.250  0.002
U  0.750  0.750  0.998
Pa  0.250  0.750  0.833
Pa  0.750  0.250  0.167
Br  0.250  0.250  0.366
Br  0.750  0.750  0.634

What did we get for total energy? Answer: -36.61, -73.79, -26.20, -47.64, -62.26, -16.85, -70.55, -30.69, -20.46, -45.92 eV per cell, in the order shown.